No. 1
A plane-wave DFT calculation with PBE was carried out for a relaxed structure of YErCu2Pb.

Output
- space group = Amm2
- final energy (eV/atom) = -4.812

The structure in extended XYZ format:
```
5
Lattice="3.662 0.000 0.000 0.000 2.106 6.989 0.000 -2.106 6.989" Properties=species:S:1:pos:R:3 pbc="T T T"
Y 0.000 0.000 0.000
Er 0.000 0.000 3.766
Cu 1.831 0.000 6.000
Cu 1.831 0.000 11.691
Pb 1.831 0.000 8.867
```

=====

No. 2
A plane-wave DFT calculation with PBE was carried out for a relaxed structure of Er4Cu3Pd.

Output
- space group = Pmm2
- formation enthalpy at 0 K (meV per atom) = -451
- final energy (eV/atom) = -4.774

The structure in extended XYZ format:
```
8
Lattice="3.698 0.000 0.000 0.000 4.450 0.000 0.000 0.000 10.251" Properties=species:S:1:pos:R:3 pbc="T T T"
Er 0.000 0.000 0.000
Er 0.000 2.225 2.861
Er 1.849 0.000 5.107
Er 1.849 2.225 7.980
Cu 0.000 2.225 5.741
Cu 1.849 0.000 2.169
Cu 1.849 2.225 0.684
Pd 0.000 0.000 7.363
```

=====

Going through the records in order, we get total magnetization values of 0.02; 0.00 Bohr magnetons per cell.